# K3Er3HfTe8

A geometry-optimized K3Er3HfTe8 structure (PBE, the Alexandria database).

Computed properties:
The uncorrected formation energy comes out at -18.90 eV per formula unit. The crystal system is trigonal. Its total magnetization is 0.00 μB/cell. As for the total energy: -4.73 eV/atom.

Geometry as CIF:
```
data_K3Er3HfTe8
_chemical_formula_sum 'K9 Er9 Hf3 Te24'
_cell_length_a 8.7162
_cell_length_b 8.7162
_cell_length_c 25.3217
_cell_angle_alpha 90.00
_cell_angle_beta 90.00
_cell_angle_gamma 120.00
_space_group_name_H-M_alt 'R -3 m'
_space_group_IT_number 166
_space_group_name_Hall '-R 3 2"'
loop_
_atom_site_label
_atom_site_fract_x
_atom_site_fract_y
_atom_site_fract_z
_atom_site_occupancy
K1 0.0000 0.5000 0.0000 1
Er1 0.0000 0.5000 0.5000 1
Hf1 0.0000 0.0000 0.5000 1
Te1 0.0000 0.0000 0.2357 1
Te2 0.0131 0.5066 0.2333 1
```